An optimized crystal structure of Ho2AgPdO5, computed with PBE.

Cell and atoms, written as CIF:
```
data_Ho2AgPdO5
_symmetry_space_group_name_H-M 'P 4/m b m'
_symmetry_Int_Tables_number 127
_symmetry_space_group_name_Hall '-P 4 2ab'
_cell_length_a 6.509
_cell_length_b 6.509
_cell_length_c 5.759
_cell_angle_alpha 90.00
_cell_angle_beta 90.00
_cell_angle_gamma 90.00
loop_
_atom_site_label
_atom_site_fract_x
_atom_site_fract_y
_atom_site_fract_z
_atom_site_occupancy
Ho1 0.173 0.327 0.000 1
Ag1 0.000 0.000 0.500 1
Pd1 0.000 0.500 0.500 1
O1 0.000 0.000 0.000 1
O2 0.138 0.638 0.237 1
```

## Properties
Uncorrected formation energy: -1958 meV/atom